First-principles (GGA-PBE) data for a geometry-optimized Sr2Li16Zn structure, as listed in Alexandria via LeMat-Bulk.

Unit cell a=10.2643 b=10.2643 c=14.5476 alpha=90.00 beta=90.00 gamma=120.00
Space group R3m (No. 160, hexagonal axes)
Asymmetric unit:
Sr 0.0000 0.0000 0.0000 x3
Sr 0.0000 0.0000 0.3127 x3
Li 0.0000 0.0000 0.5669 x3
Li 0.0010 0.2767 0.6597 x18
Li 0.0154 0.5077 0.5101 x9
Li 0.1717 0.3435 0.1402 x9
Li 0.1742 0.3484 0.4919 x9
Zn 0.0000 0.0000 0.7571 x3

Properties
**Crystal system**: trigonal
**Formation energy**: 0 meV per atom
**Total moment**: 0.0 μB/cell